VASP calculation (GGA-PBE) on a relaxed TaBe2Cr crystal.

a = 3.305 Å, b = 4.737 Å, c = 4.737 Å
α = 38.29°, β = 90.00°, γ = 90.00°
Sites, in units of the cell vectors:
Ta 0.000 0.000 0.000
Be 0.000 0.730 0.730
Be 0.500 0.603 0.603
Cr 0.500 0.314 0.314

- Magnetization: 0.0 μB per formula unit
- Energy: -7.28 eV/atom
- Formation enthalpy at 0 K: -0.045 eV/atom
- V: 11.49 Å³/atom
- Excess energy over the best structure of this formula in the dataset: 0.000 eV/atom
- Calculated density: 9070 kg/m³